# PBE K2TlCl2F2, relaxed
data_K2TlCl2F2
_chemical_formula_sum 'K4 Tl2 Cl4 F4'
_symmetry_space_group_name_H-M 'I 4/m m m'
_symmetry_Int_Tables_number 139
_symmetry_space_group_name_Hall '-I 4 2'
_cell_length_a 4.720
_cell_length_b 4.720
_cell_length_c 16.440
_cell_angle_alpha 90.00
_cell_angle_beta 90.00
_cell_angle_gamma 90.00
loop_
_atom_site_label
_atom_site_type_symbol
_atom_site_fract_x
_atom_site_fract_y
_atom_site_fract_z
K1 K 0.000 0.000 0.134
Tl1 Tl 0.000 0.000 0.500
Cl1 Cl 0.000 0.000 0.329
F1 F 0.000 0.500 0.000
# ΔE_f (raw), meV/atom: -1883.8

# PBE CsZnSiAs2, relaxed
data_CsZnSiAs2
_chemical_formula_sum 'Cs4 Zn4 Si4 As8'
_symmetry_space_group_name_H-M 'C m m e'
_symmetry_Int_Tables_number 67
_symmetry_space_group_name_Hall '-C 2a 2'
_cell_length_a 6.190
_cell_length_b 14.743
_cell_length_c 6.597
_cell_angle_alpha 90.00
_cell_angle_beta 90.00
_cell_angle_gamma 90.00
loop_
_atom_site_label
_atom_site_type_symbol
_atom_site_fract_x
_atom_site_fract_y
_atom_site_fract_z
Cs1 Cs 0.000 0.250 0.240
Zn1 Zn 0.000 0.000 0.000
Si1 Si 0.250 0.000 0.500
As1 As 0.000 0.092 0.703
# ΔE_f (raw), meV/atom: -209.8

# PBE Tb2PuScS4, relaxed
data_Tb2PuScS4
_chemical_formula_sum 'Tb2 Pu1 Sc1 S4'
_symmetry_space_group_name_H-M 'P 1 2/m 1'
_symmetry_Int_Tables_number 10
_cell_length_a 6.720
_cell_length_b 3.867
_cell_length_c 6.722
_cell_angle_alpha 90.00
_cell_angle_beta 109.21
_cell_angle_gamma 90.00
loop_
_symmetry_equiv_pos_as_xyz
'x,y,z'
'-x,-y,-z'
'-x,y,-z'
'x,-y,z'
loop_
_atom_site_label
_atom_site_type_symbol
_atom_site_fract_x
_atom_site_fract_y
_atom_site_fract_z
Tb1 Tb 0.000 0.000 0.000
Tb2 Tb 0.500 0.500 0.000
Pu1 Pu 0.000 0.500 0.500
Sc1 Sc 0.500 0.000 0.500
S1 S 0.256 0.000 0.745
S2 S 0.262 0.500 0.261
# ΔE_f (raw), meV/atom: -1916.7

# PBE Ca2NiIr, relaxed
data_Ca2NiIr
_chemical_formula_sum 'Ca2 Ni1 Ir1'
_symmetry_space_group_name_H-M 'P 4 m m'
_symmetry_Int_Tables_number 99
_cell_length_a 3.380
_cell_length_b 3.380
_cell_length_c 8.140
_cell_angle_alpha 90.00
_cell_angle_beta 90.00
_cell_angle_gamma 90.00
loop_
_symmetry_equiv_pos_as_xyz
'x,y,z'
'-y,x,z'
'-x,-y,z'
'y,-x,z'
'-x,y,z'
'y,x,z'
'x,-y,z'
'-y,-x,z'
loop_
_atom_site_label
_atom_site_type_symbol
_atom_site_fract_x
_atom_site_fract_y
_atom_site_fract_z
Ca1 Ca 0.000 0.000 0.000
Ca2 Ca 0.500 0.500 0.417
Ni1 Ni 0.500 0.500 0.755
Ir1 Ir 0.000 0.000 0.658
# Uncorrected energy, eV per formula unit: -18.67